No. 1
Below is a relaxed structure of Gd2GaPt, with properties calculated at the PBE level.

a b c (Å): 3.592 3.592 7.089
angles (deg): 90.00 90.00 90.00
Site moments in Bohr magnetons follow the coordinates.
Atoms (fractional coordinates):
1 Ga 0.500 0.500 0.000  -0.02
2 Gd 0.000 0.000 0.739  7.00
3 Gd 0.000 0.000 0.261  7.00
4 Pt 0.500 0.500 0.500  -0.03

## Properties
* magnetization: 14.2 μB/cell

No. 2
Below is a relaxed structure of Y2ErBi, with properties calculated at the PBE level.

a b c (Å): 3.551 3.551 12.169
angles (deg): 81.61 81.61 60.00
Atoms (fractional coordinates):
1 Y 0.088 0.088 0.737
2 Bi 0.000 0.000 0.000
3 Er 0.500 0.500 0.500
4 Y 0.912 0.912 0.263

## Properties
* magnetization: 0.0 μB/cell
* E above lowest polymorph: 426 meV/atom

| no. | DFT formation energy (eV per atom) |
| --- | --- |
| 1 | -0.873 |
| 2 | 0.020 |